1.
{
  "formula": "Y4Bi",
  "functional": "PBE",
  "state": "relaxed",
  "cell": [[5.8149, 0.0000, 0.0000], [0.0000, 5.8149, 0.0000], [0.0000, 0.0000, 5.8149]],
  "species": ["Y", "Y", "Y", "Y", "Bi"],
  "fractional_positions": [[0.0000, 0.0000, 0.0000], [0.0000, 0.5000, 0.5000], [0.5000, 0.0000, 0.5000], [0.5000, 0.5000, 0.0000], [0.5000, 0.5000, 0.5000]],
  "delta_e_f_mev_per_atom": 229,
  "spacegroup": "Pm-3m",
  "dos_ef_per_ev_atom": 1.759,
  "e_tot_ev_per_atom": -5.7181
}

---

2.
{
  "formula": "CsKOsBr6",
  "functional": "PBE",
  "state": "relaxed",
  "cell": [[3.9464, -6.8454, 0.0000], [3.9464, 6.8454, 0.0000], [-0.0025, 0.0000, 7.2197]],
  "species": ["Cs", "K", "Os", "Br", "Br", "Br", "Br", "Br", "Br"],
  "fractional_positions": [[0.0000, 0.0000, 0.0000], [0.6664, 0.3336, 0.5000], [0.3334, 0.6666, 0.5000], [0.0725, 0.4095, 0.2977], [0.0733, 0.6630, 0.7029], [0.3374, 0.4105, 0.7031], [0.3370, 0.9267, 0.2971], [0.5895, 0.6626, 0.2969], [0.5905, 0.9275, 0.7023]],
  "formation_energy_uncorrected_mev_per_atom": -833,
  "spacegroup": "C2",
  "dos_ef_per_ev_atom": 0.876,
  "e_tot_ev_per_atom": -3.4131
}

---

3.
{
  "formula": "Na3Pu3USe8",
  "functional": "PBE",
  "state": "relaxed",
  "cell": [[4.2035, 2.4269, 6.9563], [-4.2035, 2.4269, 6.9563], [0.0000, -4.8538, 6.9563]],
  "species": ["Na", "Na", "Na", "Pu", "Pu", "Pu", "U", "Se", "Se", "Se", "Se", "Se", "Se", "Se", "Se"],
  "fractional_positions": [[0.0000, 0.5000, 0.5000], [0.5000, 0.0000, 0.5000], [0.5000, 0.5000, 0.0000], [0.0000, 0.0000, 0.5000], [0.0000, 0.5000, 0.0000], [0.5000, 0.0000, 0.0000], [0.5000, 0.5000, 0.5000], [0.2432, 0.2432, 0.2432], [0.2503, 0.7367, 0.7367], [0.2633, 0.2633, 0.7497], [0.2633, 0.7497, 0.2633], [0.7367, 0.2503, 0.7367], [0.7367, 0.7367, 0.2503], [0.7497, 0.2633, 0.2633], [0.7568, 0.7568, 0.7568]],
  "formation_energy_uncorrected_mev_per_atom": -1366,
  "spacegroup": "R-3m",
  "dos_ef_per_ev_atom": 2.435,
  "e_tot_ev_per_atom": -7.1067
}

---

4.
{
  "formula": "KTaHg2",
  "functional": "PBE",
  "state": "relaxed",
  "cell": [[0.0000, 3.6502, 3.6502], [3.6502, 0.0000, 3.6502], [3.6502, 3.6502, 0.0000]],
  "species": ["K", "Ta", "Hg", "Hg"],
  "fractional_positions": [[0.0000, 0.0000, 0.0000], [0.5000, 0.5000, 0.5000], [0.2500, 0.2500, 0.2500], [0.7500, 0.7500, 0.7500]],
  "delta_e_f_mev_per_atom": 828,
  "e_above_lowest_polymorph_mev_per_atom": 449,
  "spacegroup": "Fm-3m",
  "dos_ef_per_ev_atom": 0.866,
  "e_tot_ev_per_atom": -2.5603
}